(1)
{
  "formula": "Sm2ErThSb5",
  "functional": "GGA-PBE",
  "state": "optimized geometry",
  "cell": [[5.2182, 0.0000, 0.0000], [0.0000, 5.2182, 0.0000], [0.0000, 0.0000, 11.8408]],
  "species": ["Sb", "Sb", "Sb", "Sb", "Sb", "Sm", "Sm", "Er", "Th"],
  "fractional_positions": [[0.0000, 0.0000, 0.7501], [0.0000, 0.0000, 0.2499], [0.5000, 0.0000, 0.5000], [0.0000, 0.5000, 0.5000], [0.5000, 0.5000, 0.0000], [0.5000, 0.5000, 0.2851], [0.5000, 0.5000, 0.7149], [0.0000, 0.0000, 0.5000], [0.0000, 0.0000, 0.0000]],
  "space_group": "P4/mmm, No. 123",
  "total_magnetization_mub_per_fu": 0.0,
  "raw_formation_energy_kj_per_mol_atoms": -23,
  "energy_ev_per_atom": -4.91,
  "dos_ef_per_ev_atom": 0.4172
}

***

(2)
{
  "formula": "SmEr2TmSb4",
  "functional": "GGA-PBE",
  "state": "optimized geometry",
  "cell": [[-0.1619, 1.6122, -4.0722], [-5.6957, -4.7310, -1.6467], [-6.6141, 3.3531, 1.5904]],
  "species": ["Sb", "Sb", "Sb", "Sb", "Tm", "Er", "Er", "Sm"],
  "fractional_positions": [[0.0000, 0.7549, 0.7443], [0.0000, 0.2451, 0.2557], [0.5000, 0.2481, 0.7466], [0.5000, 0.7519, 0.2534], [0.0000, 0.5000, 0.5000], [0.0000, 0.0000, 0.0000], [0.5000, 0.0000, 0.5000], [0.5000, 0.5000, 0.0000]],
  "space_group": "P2/m, No. 10",
  "total_magnetization_mub_per_fu": 0.0,
  "raw_formation_energy_kj_per_mol_atoms": -107,
  "energy_ev_per_atom": -5.45,
  "dos_ef_per_ev_atom": 0.1382
}

***

(3)
{
  "formula": "SmEr2Tm3Sb6",
  "functional": "GGA-PBE",
  "state": "optimized geometry",
  "cell": [[4.3648, 0.0000, 0.0000], [0.0000, 8.7233, 0.3175], [-2.1824, -2.5070, 9.1738]],
  "species": ["Sb", "Sb", "Sb", "Sb", "Sb", "Sb", "Tm", "Tm", "Tm", "Er", "Er", "Sm"],
  "fractional_positions": [[0.0003, 0.2564, 0.0006], [0.9997, 0.7436, 0.9994], [0.6692, 0.0836, 0.3384], [0.3337, 0.4163, 0.6673], [0.3308, 0.9164, 0.6616], [0.6663, 0.5837, 0.3327], [0.1657, 0.8324, 0.3314], [0.5000, 0.5000, 0.0000], [0.8343, 0.1676, 0.6686], [0.8328, 0.6665, 0.6656], [0.1672, 0.3335, 0.3344], [0.5000, 0.0000, 0.0000]],
  "space_group": "C2/m, No. 12",
  "total_magnetization_mub_per_fu": 0.0,
  "raw_formation_energy_kj_per_mol_atoms": -105,
  "energy_ev_per_atom": -5.43,
  "dos_ef_per_ev_atom": 0.1585
}

***

(4)
{
  "formula": "SmEr3Tm2Sb6",
  "functional": "GGA-PBE",
  "state": "optimized geometry",
  "cell": [[-3.4582, 2.6178, -0.5107], [-5.3239, -6.8814, 0.7766], [2.6961, 1.7185, 9.2254]],
  "species": ["Tm", "Tm", "Er", "Er", "Er", "Sb", "Sb", "Sb", "Sb", "Sb", "Sb", "Sm"],
  "fractional_positions": [[0.8326, 0.6664, 0.6653], [0.1674, 0.3336, 0.3347], [0.5000, 0.5000, 0.0000], [0.8345, 0.1677, 0.6690], [0.1655, 0.8323, 0.3310], [0.6668, 0.5823, 0.3336], [0.3310, 0.9148, 0.6620], [0.0009, 0.2559, 0.0019], [0.9991, 0.7441, 0.9981], [0.3332, 0.4177, 0.6664], [0.6690, 0.0852, 0.3380], [0.5000, 0.0000, 0.0000]],
  "space_group": "C2/m, No. 12",
  "total_magnetization_mub_per_fu": 0.0,
  "raw_formation_energy_kj_per_mol_atoms": -106,
  "energy_ev_per_atom": -5.44,
  "dos_ef_per_ev_atom": 0.1585
}